PBE CsPa2Cu2Te6, relaxed; raw formation energy = -598 meV per atom; electronic total energy = -4.860 eV/atom; DOS(E_F) = 7.4 states/eV/cell
1.0
8.1359 0.1450 0.0089
4.1947 7.4771 -0.5143
-0.0831 -4.6924 7.1273
Te Cs Pa Cu
6 1 2 2
direct
0.1837 0.8213 0.5747 Te
0.8163 0.1787 0.4253 Te
0.0103 0.4137 0.1727 Te
0.5917 0.2240 0.9784 Te
0.9897 0.5863 0.8273 Te
0.4083 0.7760 0.0216 Te
0.5000 0.0000 0.5000 Cs
0.8373 0.3297 0.8391 Pa
0.1627 0.6703 0.1609 Pa
0.1572 0.7730 0.8410 Cu
0.8428 0.2270 0.1590 Cu


PBE LiSnF3, relaxed; distance to the lowest polymorph of the same formula = 0 meV per atom; raw formation energy = -2520 meV per atom; electronic total energy = -4.826 eV/atom; DOS(E_F) = 0.0 states/eV/cell
1.0
-0.1165 -0.3659 -3.6454
-2.4006 -3.7814 0.4563
-7.5887 5.0085 1.5827
F Li Sn
6 2 2
direct
0.5739 0.3264 0.1478 F
0.4261 0.8264 0.8522 F
0.8132 0.7330 0.6264 F
0.1868 0.2330 0.3736 F
0.9406 0.3510 0.8812 F
0.0594 0.8510 0.1188 F
0.0466 0.4243 0.0932 Li
0.9534 0.9243 0.9068 Li
0.6492 0.9595 0.2985 Sn
0.3508 0.4595 0.7015 Sn


PBE CeSm, relaxed; distance to the lowest polymorph of the same formula = 0 meV per atom; energy of formation from the pure elements = 94 meV/atom; electronic total energy = -5.233 eV/atom; DOS(E_F) = 11.2 states/eV/cell
1.0
-0.4090 -2.5620 -2.3582
4.2553 -2.0059 1.4412
-3.4829 -3.9075 4.8451
Sm Ce
2 2
direct
0.2495 0.7500 0.6321 Sm
0.7505 0.2500 0.3679 Sm
0.2506 0.7500 0.1095 Ce
0.7494 0.2500 0.8905 Ce


PBE K2MnGeTe4, relaxed; raw formation energy = -394 meV per atom; electronic total energy = -3.962 eV/atom; DOS(E_F) = 10.6 states/eV/cell
1.0
-7.8570 -3.0642 -3.0184
4.2615 -5.7023 -5.4366
1.6365 -0.2923 8.5197
Te K Mn Ge
8 4 2 2
direct
0.2179 0.2821 0.0257 Te
0.7820 0.7179 0.9743 Te
0.7906 0.3157 0.5532 Te
0.7821 0.7180 0.5257 Te
0.8157 0.2906 0.0532 Te
0.1843 0.7094 0.9468 Te
0.2179 0.2821 0.4743 Te
0.2094 0.6843 0.4468 Te
0.5000 0.0000 0.0000 K
0.0000 0.0000 0.5000 K
0.5000 0.5000 0.0000 K
0.5000 0.0000 0.5000 K
0.0000 0.5000 0.5000 Mn
0.0000 0.5000 0.0000 Mn
0.0000 0.0000 0.0000 Ge
0.5000 0.5000 0.5000 Ge


PBE LaCdSi, relaxed; raw formation energy = -484 meV per atom; electronic total energy = -4.239 eV/atom; DOS(E_F) = 3.7 states/eV/cell
1.0
-1.8642 -3.9404 0.7416
2.3484 -0.4101 3.7241
-5.9396 5.6182 1.7391
Cd Si La
2 2 2
direct
0.8378 0.3378 0.6757 Cd
0.6622 0.1622 0.3243 Cd
0.9240 0.9240 0.8480 Si
0.0760 0.0760 0.1520 Si
0.5000 0.5000 0.0000 La
0.2500 0.7500 0.5000 La


PBE Tb2Pr4Ho2Tm, relaxed; energy of formation from the pure elements = 24 meV/atom; electronic total energy = -4.643 eV/atom; DOS(E_F) = 14.2 states/eV/cell
1.0
-1.6776 0.0127 -4.8329
1.3018 -7.6718 2.2357
-7.3606 2.0662 2.5603
Tb Pr Ho Tm
2 4 2 1
direct
0.1115 0.2231 0.6711 Tb
0.8885 0.7769 0.3289 Tb
0.7774 0.5549 0.6693 Pr
0.4462 0.8924 0.6696 Pr
0.5538 0.1076 0.3304 Pr
0.2226 0.4451 0.3307 Pr
0.6669 0.3338 0.9996 Ho
0.3331 0.6662 0.0004 Ho
0.0000 0.0000 0.0000 Tm


PBE Y2AlOs3, relaxed; energy of formation from the pure elements = -364 meV/atom; electronic total energy = -8.758 eV/atom; DOS(E_F) = 6.8 states/eV/cell
1.0
4.7806 -0.1385 -2.5022
-3.0403 4.4536 -0.2379
-0.2517 0.1090 5.3321
Y Os Al
2 3 1
direct
0.7557 0.3776 0.1333 Y
0.2443 0.6224 0.8667 Y
0.5000 0.5000 0.5000 Os
0.0000 0.0000 0.5000 Os
0.5000 0.0000 0.5000 Os
0.0000 0.0000 0.0000 Al


PBE ScTaBr, relaxed; distance to the lowest polymorph of the same formula = 784 meV per atom; raw formation energy = 725 meV per atom; electronic total energy = -5.895 eV/atom; DOS(E_F) = 2.0 states/eV/cell
1.0
-2.2517 -0.5860 -3.8562
-2.7624 -3.5243 -0.4814
-4.4573 0.6330 -0.1235
Ta Sc Br
1 1 1
direct
0.5000 0.5000 0.5000 Ta
0.0000 0.0000 0.0000 Sc
0.7500 0.7500 0.7500 Br


PBE Ti3Nb2Hg, relaxed; energy of formation from the pure elements = -23 meV/atom; electronic total energy = -7.377 eV/atom; DOS(E_F) = 8.6 states/eV/cell
1.0
3.3099 0.0000 0.0000
0.0000 3.3099 0.0000
0.0000 0.0000 9.8332
Hg Nb Ti
1 2 3
direct
0.5000 0.5000 0.5000 Hg
0.5000 0.5000 0.8364 Nb
0.5000 0.5000 0.1636 Nb
0.0000 0.0000 0.0000 Ti
0.0000 0.0000 0.6837 Ti
0.0000 0.0000 0.3163 Ti


PBE SiAsP2O, relaxed; distance to the lowest polymorph of the same formula = 682 meV per atom; raw formation energy = 533 meV per atom; electronic total energy = -4.637 eV/atom; DOS(E_F) = 3.2 states/eV/cell
1.0
4.7654 0.0000 0.0000
0.0000 4.7654 0.0000
0.0000 0.0000 3.6412
Si O P As
1 1 2 1
direct
0.5000 0.5000 0.5000 Si
0.0000 0.0000 0.5000 O
0.0000 0.5000 0.0000 P
0.5000 0.0000 0.0000 P
0.0000 0.0000 0.0000 As


PBE Be3NbSn, relaxed; distance to the lowest polymorph of the same formula = 143 meV per atom; energy of formation from the pure elements = 1460 meV/atom; electronic total energy = -3.590 eV/atom; DOS(E_F) = 3.1 states/eV/cell
1.0
4.3941 0.0000 0.0000
0.0000 4.3941 0.0000
0.0000 0.0000 4.3941
Be Nb Sn
3 1 1
direct
0.0000 0.5000 0.0000 Be
0.0000 0.0000 0.5000 Be
0.5000 0.0000 0.0000 Be
0.5000 0.5000 0.5000 Nb
0.0000 0.0000 0.0000 Sn


PBE LiSn7Pd4, relaxed; energy of formation from the pure elements = -260 meV/atom; electronic total energy = -4.485 eV/atom; DOS(E_F) = 6.4 states/eV/cell
1.0
-4.7227 1.1087 0.3754
-2.6386 -3.0955 7.4795
-0.7606 6.4051 3.0476
Pd Li Sn
4 1 7
direct
0.2845 0.3099 0.1211 Pd
0.7155 0.6901 0.8789 Pd
0.4488 0.7765 0.3258 Pd
0.5512 0.2235 0.6742 Pd
0.0000 0.0000 0.0000 Li
0.2086 0.1208 0.4620 Sn
0.5000 0.0000 0.0000 Sn
0.6473 0.3920 0.3134 Sn
0.3527 0.6080 0.6866 Sn
0.8999 0.3531 0.8470 Sn
0.7914 0.8792 0.5380 Sn
0.1001 0.6469 0.1530 Sn